Record 1
DFT (GGA-PBE) results for a geometry-optimized LiCrAg structure.

a b c (Å): 2.6347 2.6347 13.0312
angles (deg): 90.00 90.00 90.00
Element x y z (fractional)
Li  0.0000  0.0000  0.0000
Li  0.5000  0.5000  0.5000
Cr  0.0000  0.0000  0.3329
Cr  0.5000  0.5000  0.8329
Ag  0.0000  0.0000  0.6658
Ag  0.5000  0.5000  0.1658

Calculated values
SG   I4mm
Theoretical density   6124 kg/m³
Energy relative to the elements   0.514 eV/atom

---

Record 2
DFT (GGA-PBE) results for a geometry-optimized MgHgPt2 structure.

a b c (Å): 2.9017 2.9017 28.6216
angles (deg): 90.00 90.00 120.00
Element x y z (fractional)
Mg  0.0000  0.0000  0.0000
Mg  0.3333  0.6667  0.6667
Mg  0.6667  0.3333  0.3333
Hg  0.0000  0.0000  0.5000
Hg  0.3333  0.6667  0.1667
Hg  0.6667  0.3333  0.8333
Pt  0.0000  0.0000  0.2602
Pt  0.0000  0.0000  0.7398
Pt  0.3333  0.6667  0.4065
Pt  0.3333  0.6667  0.9269
Pt  0.6667  0.3333  0.0731
Pt  0.6667  0.3333  0.5935

Calculated values
SG   R-3m
Theoretical density   14681 kg/m³
Energy relative to the elements   -0.329 eV/atom

---

Record 3
DFT (GGA-PBE) results for a geometry-optimized Sb2TePPb structure.

a b c (Å): 5.3168 5.3168 5.5989
angles (deg): 90.00 90.00 90.00
Element x y z (fractional)
Sb  0.0000  0.5000  0.0000
Sb  0.5000  0.0000  0.0000
Te  0.0000  0.0000  0.5000
P  0.0000  0.0000  0.0000
Pb  0.5000  0.5000  0.5000

Calculated values
SG   P4/mmm
Formation energy (no corrections)   0.39 eV per atom
Theoretical density   6392 kg/m³

---

Record 4
DFT (GGA-PBE) results for a geometry-optimized Zn2Ga2Fe structure.

a b c (Å): 6.6247 6.6247 3.6567
angles (deg): 90.00 90.00 90.00
Element x y z (fractional)
Zn  0.1363  0.3637  0.0000
Zn  0.3637  0.8637  0.0000
Zn  0.6363  0.1363  0.0000
Zn  0.8637  0.6363  0.0000
Ga  0.1720  0.6720  0.5000
Ga  0.3280  0.1720  0.5000
Ga  0.6720  0.8280  0.5000
Ga  0.8280  0.3280  0.5000
Fe  0.0000  0.0000  0.0000
Fe  0.5000  0.5000  0.0000

Calculated values
SG   P4/mbm
Theoretical density   6749 kg/m³
Energy relative to the elements   0.266 eV/atom

---

Record 5
DFT (GGA-PBE) results for a geometry-optimized HgPtS2 structure.

a b c (Å): 3.8631 3.8631 22.1331
angles (deg): 90.00 90.00 120.00
Element x y z (fractional)
Hg  0.0000  0.0000  0.0000
Hg  0.3333  0.6667  0.6667
Hg  0.6667  0.3333  0.3333
Pt  0.0000  0.0000  0.5000
Pt  0.3333  0.6667  0.1667
Pt  0.6667  0.3333  0.8333
S  0.0000  0.0000  0.4010
S  0.0000  0.0000  0.5990
S  0.3333  0.6667  0.0677
S  0.3333  0.6667  0.2657
S  0.6667  0.3333  0.7343
S  0.6667  0.3333  0.9323

Calculated values
SG   R-3m
Formation energy (no corrections)   0.28 eV per atom
Theoretical density   8008 kg/m³

---

Record 6
DFT (GGA-PBE) results for a geometry-optimized KZrCo4 structure.

a b c (Å): 5.0392 5.0392 5.0392
angles (deg): 60.00 60.00 60.00
Element x y z (fractional)
K  0.0000  0.0000  0.0000
Zr  0.7500  0.7500  0.7500
Co  0.3766  0.3766  0.3766
Co  0.3766  0.3766  0.8702
Co  0.3766  0.8702  0.3766
Co  0.8702  0.3766  0.3766

Calculated values
SG   F-43m
Theoretical density   6718 kg/m³
Energy relative to the elements   0.464 eV/atom

---

Record 7
DFT (GGA-PBE) results for a geometry-optimized Ca2InFe structure.

a b c (Å): 11.9708 3.6961 5.2617
angles (deg): 90.00 115.83 90.00
Element x y z (fractional)
Ca  0.0000  0.0000  0.0000
Ca  0.2058  0.0000  0.7047
Ca  0.5000  0.5000  0.0000
Ca  0.7058  0.5000  0.7047
In  0.4340  0.0000  0.4342
In  0.9340  0.5000  0.4342
Fe  0.2540  0.5000  0.2521
Fe  0.7540  0.0000  0.2521

Calculated values
SG   Cm
Theoretical density   3975 kg/m³
Energy relative to the elements   0.117 eV/atom

---

Record 8
DFT (GGA-PBE) results for a geometry-optimized CdAuSe2S structure.

a b c (Å): 4.9156 4.9156 4.9646
angles (deg): 90.00 90.00 90.00
Element x y z (fractional)
Cd  0.0000  0.0000  0.0000
Au  0.5000  0.5000  0.0000
Se  0.0000  0.5000  0.5000
Se  0.5000  0.0000  0.5000
S  0.0000  0.0000  0.5000

Calculated values
SG   P4/mmm
Formation energy (no corrections)   0.51 eV per atom
Theoretical density   6912 kg/m³

---

no.,E (eV/f.u.)
1,-12.85
2,-15.29
3,-18.54
4,-15.74
5,-13.46
6,-35.29
7,-14.74
8,-12.76